*A*
Compound: TbZrNO
Source: OQMD via LeMat-Bulk
Functional: PBE
Structure: relaxed

Geometry as CIF:
```
data_TbZrNO
_cell_length_a 7.991
_cell_length_b 6.441
_cell_length_c 4.800
_cell_angle_alpha 90.00
_cell_angle_beta 90.00
_cell_angle_gamma 90.00
_symmetry_space_group_name_H-M 'P 1'
_symmetry_Int_Tables_number 1
loop_
_symmetry_equiv_pos_as_xyz
'x,y,z'
loop_
_atom_site_label
_atom_site_type_symbol
_atom_site_fract_x
_atom_site_fract_y
_atom_site_fract_z
Tb1 Tb 0.135 0.079 0.250
Tb2 Tb 0.135 0.421 0.750
Tb3 Tb 0.865 0.579 0.250
Tb4 Tb 0.865 0.921 0.750
Zr1 Zr 0.390 0.559 0.250
Zr2 Zr 0.390 0.941 0.750
Zr3 Zr 0.610 0.059 0.250
Zr4 Zr 0.610 0.441 0.750
N1 N 0.135 0.055 0.750
N2 N 0.135 0.445 0.250
N3 N 0.865 0.555 0.750
N4 N 0.865 0.945 0.250
O1 O 0.368 0.609 0.750
O2 O 0.368 0.891 0.250
O3 O 0.632 0.109 0.750
O4 O 0.632 0.391 0.250
```

Computed properties:
As for the total magnetization: 0.02 μB per cell. Its space-group type is No. 57.

***

*B*
Compound: TbZrNO
Source: OQMD via LeMat-Bulk
Functional: PBE
Structure: relaxed

Geometry as CIF:
```
data_TbZrNO
_cell_length_a 3.600
_cell_length_b 6.182
_cell_length_c 5.934
_cell_angle_alpha 90.00
_cell_angle_beta 90.00
_cell_angle_gamma 90.00
_symmetry_space_group_name_H-M 'P 1'
_symmetry_Int_Tables_number 1
loop_
_symmetry_equiv_pos_as_xyz
'x,y,z'
loop_
_atom_site_label
_atom_site_type_symbol
_atom_site_fract_x
_atom_site_fract_y
_atom_site_fract_z
Tb1 Tb 0.000 0.174 0.000
Tb2 Tb 0.000 0.826 0.500
Zr1 Zr 0.500 0.367 0.455
Zr2 Zr 0.500 0.633 0.955
N1 N 0.000 0.185 0.410
N2 N 0.000 0.815 0.910
O1 O 0.500 0.293 0.815
O2 O 0.500 0.707 0.315
```

Computed properties:
As for the total magnetization: 0.25 μB per cell. Its space-group type is No. 26.

***

*C*
Compound: TbZrNO
Source: OQMD via LeMat-Bulk
Functional: PBE
Structure: relaxed

Geometry as CIF:
```
data_TbZrNO
_cell_length_a 4.707
_cell_length_b 3.879
_cell_length_c 6.725
_cell_angle_alpha 90.00
_cell_angle_beta 90.00
_cell_angle_gamma 90.00
_symmetry_space_group_name_H-M 'P 1'
_symmetry_Int_Tables_number 1
loop_
_symmetry_equiv_pos_as_xyz
'x,y,z'
loop_
_atom_site_label
_atom_site_type_symbol
_atom_site_fract_x
_atom_site_fract_y
_atom_site_fract_z
Tb1 Tb 0.250 0.000 0.162
Tb2 Tb 0.750 0.000 0.838
Zr1 Zr 0.250 0.500 0.664
Zr2 Zr 0.750 0.500 0.336
N1 N 0.250 0.500 0.352
N2 N 0.750 0.500 0.648
O1 O 0.250 0.000 0.809
O2 O 0.750 0.000 0.191
```

Computed properties:
As for the total magnetization: 0.01 μB per cell. Its space-group type is No. 51.

***

Tell me which of them is the most stable. Sure, it is *C*.

***

*A*
Compound: TlTcNO
Source: OQMD via LeMat-Bulk
Functional: PBE
Structure: relaxed

Geometry as CIF:
```
data_TlTcNO
_cell_length_a 3.895
_cell_length_b 3.895
_cell_length_c 7.434
_cell_angle_alpha 90.00
_cell_angle_beta 90.00
_cell_angle_gamma 90.00
_symmetry_space_group_name_H-M 'P 1'
_symmetry_Int_Tables_number 1
loop_
_symmetry_equiv_pos_as_xyz
'x,y,z'
loop_
_atom_site_label
_atom_site_type_symbol
_atom_site_fract_x
_atom_site_fract_y
_atom_site_fract_z
Tl1 Tl 0.250 0.250 0.156
Tl2 Tl 0.750 0.750 0.844
Tc1 Tc 0.250 0.750 0.500
Tc2 Tc 0.750 0.250 0.500
N1 N 0.250 0.250 0.595
N2 N 0.750 0.750 0.405
O1 O 0.250 0.750 0.000
O2 O 0.750 0.250 0.000
```

Computed properties:
As for the total magnetization: 0.64 μB per cell. Its space-group type is No. 129.

***

*B*
Compound: TlTcNO
Source: OQMD via LeMat-Bulk
Functional: PBE
Structure: relaxed

Geometry as CIF:
```
data_TlTcNO
_cell_length_a 3.247
_cell_length_b 7.067
_cell_length_c 6.027
_cell_angle_alpha 90.00
_cell_angle_beta 90.00
_cell_angle_gamma 90.00
_symmetry_space_group_name_H-M 'P 1'
_symmetry_Int_Tables_number 1
loop_
_symmetry_equiv_pos_as_xyz
'x,y,z'
loop_
_atom_site_label
_atom_site_type_symbol
_atom_site_fract_x
_atom_site_fract_y
_atom_site_fract_z
Tl1 Tl 0.000 0.169 0.000
Tl2 Tl 0.000 0.831 0.500
Tc1 Tc 0.500 0.337 0.497
Tc2 Tc 0.500 0.663 0.997
N1 N 0.000 0.202 0.488
N2 N 0.000 0.798 0.988
O1 O 0.500 0.493 0.753
O2 O 0.500 0.507 0.253
```

Computed properties:
As for the total magnetization: 0.00 μB per cell. Its space-group type is No. 26.

***

*C*
Compound: TlTcNO
Source: OQMD via LeMat-Bulk
Functional: PBE
Structure: relaxed

Geometry as CIF:
```
data_TlTcNO
_cell_length_a 6.400
_cell_length_b 8.125
_cell_length_c 5.087
_cell_angle_alpha 90.00
_cell_angle_beta 90.00
_cell_angle_gamma 90.00
_symmetry_space_group_name_H-M 'P 1'
_symmetry_Int_Tables_number 1
loop_
_symmetry_equiv_pos_as_xyz
'x,y,z'
loop_
_atom_site_label
_atom_site_type_symbol
_atom_site_fract_x
_atom_site_fract_y
_atom_site_fract_z
Tl1 Tl 0.087 0.167 0.000
Tl2 Tl 0.413 0.167 0.500
Tl3 Tl 0.587 0.833 0.000
Tl4 Tl 0.913 0.833 0.500
Tc1 Tc 0.155 0.628 0.034
Tc2 Tc 0.345 0.628 0.534
Tc3 Tc 0.655 0.372 0.034
Tc4 Tc 0.845 0.372 0.534
N1 N 0.092 0.829 0.984
N2 N 0.408 0.829 0.484
N3 N 0.592 0.171 0.984
N4 N 0.908 0.171 0.484
O1 O 0.087 0.504 0.685
O2 O 0.413 0.504 0.185
O3 O 0.587 0.496 0.685
O4 O 0.913 0.496 0.185
```

Computed properties:
As for the total magnetization: 0.03 μB per cell. Its space-group type is No. 29.

***

Tell me which of them is the most stable. Sure, it is *B*.

***

*A*
Compound: TlTcNO
Source: OQMD via LeMat-Bulk
Functional: PBE
Structure: relaxed

Geometry as CIF:
```
data_TlTcNO
_cell_length_a 3.434
_cell_length_b 6.872
_cell_length_c 5.909
_cell_angle_alpha 90.00
_cell_angle_beta 90.00
_cell_angle_gamma 90.00
_symmetry_space_group_name_H-M 'P 1'
_symmetry_Int_Tables_number 1
loop_
_symmetry_equiv_pos_as_xyz
'x,y,z'
loop_
_atom_site_label
_atom_site_type_symbol
_atom_site_fract_x
_atom_site_fract_y
_atom_site_fract_z
Tl1 Tl 0.000 0.186 0.000
Tl2 Tl 0.000 0.814 0.500
Tc1 Tc 0.500 0.343 0.500
Tc2 Tc 0.500 0.657 0.000
N1 N 0.500 0.499 0.750
N2 N 0.500 0.501 0.250
O1 O 0.000 0.202 0.499
O2 O 0.000 0.798 0.999
```

Computed properties:
As for the total magnetization: 0.00 μB per cell. Its space-group type is No. 26.

***

*B*
Compound: TlTcNO
Source: OQMD via LeMat-Bulk
Functional: PBE
Structure: relaxed

Geometry as CIF:
```
data_TlTcNO
_cell_length_a 4.137
_cell_length_b 4.137
_cell_length_c 8.568
_cell_angle_alpha 90.00
_cell_angle_beta 90.00
_cell_angle_gamma 90.00
_symmetry_space_group_name_H-M 'P 1'
_symmetry_Int_Tables_number 1
loop_
_symmetry_equiv_pos_as_xyz
'x,y,z'
loop_
_atom_site_label
_atom_site_type_symbol
_atom_site_fract_x
_atom_site_fract_y
_atom_site_fract_z
Tl1 Tl 0.250 0.750 0.000
Tl2 Tl 0.750 0.250 0.000
Tc1 Tc 0.250 0.250 0.428
Tc2 Tc 0.750 0.750 0.572
N1 N 0.250 0.250 0.233
N2 N 0.750 0.750 0.767
O1 O 0.250 0.750 0.500
O2 O 0.750 0.250 0.500
```

Computed properties:
As for the total magnetization: 0.04 μB per cell. Its space-group type is No. 129.

***

Tell me which of them is the most stable. Sure, it is *A*.

***

*A*
Compound: YTcNO
Source: OQMD via LeMat-Bulk
Functional: PBE
Structure: relaxed

Geometry as CIF:
```
data_YTcNO
_cell_length_a 5.497
_cell_length_b 8.530
_cell_length_c 4.745
_cell_angle_alpha 90.00
_cell_angle_beta 90.00
_cell_angle_gamma 90.00
_symmetry_space_group_name_H-M 'P 1'
_symmetry_Int_Tables_number 1
loop_
_symmetry_equiv_pos_as_xyz
'x,y,z'
loop_
_atom_site_label
_atom_site_type_symbol
_atom_site_fract_x
_atom_site_fract_y
_atom_site_fract_z
Y1 Y 0.023 0.156 0.000
Y2 Y 0.477 0.156 0.500
Y3 Y 0.523 0.844 0.000
Y4 Y 0.977 0.844 0.500
Tc1 Tc 0.124 0.512 0.143
Tc2 Tc 0.376 0.512 0.643
Tc3 Tc 0.624 0.488 0.143
Tc4 Tc 0.876 0.488 0.643
N1 N 0.110 0.646 0.807
N2 N 0.390 0.646 0.307
N3 N 0.610 0.354 0.807
N4 N 0.890 0.354 0.307
O1 O 0.094 0.088 0.533
O2 O 0.406 0.088 0.033
O3 O 0.594 0.912 0.533
O4 O 0.906 0.912 0.033
```

Computed properties:
As for the total magnetization: 0.00 μB per cell. Its space-group type is No. 29.

***

*B*
Compound: YTcNO
Source: OQMD via LeMat-Bulk
Functional: PBE
Structure: relaxed

Geometry as CIF:
```
data_YTcNO
_cell_length_a 6.039
_cell_length_b 7.552
_cell_length_c 4.899
_cell_angle_alpha 90.00
_cell_angle_beta 90.00
_cell_angle_gamma 90.00
_symmetry_space_group_name_H-M 'P 1'
_symmetry_Int_Tables_number 1
loop_
_symmetry_equiv_pos_as_xyz
'x,y,z'
loop_
_atom_site_label
_atom_site_type_symbol
_atom_site_fract_x
_atom_site_fract_y
_atom_site_fract_z
Y1 Y 0.057 0.154 0.000
Y2 Y 0.443 0.154 0.500
Y3 Y 0.557 0.846 0.000
Y4 Y 0.943 0.846 0.500
Tc1 Tc 0.137 0.663 0.990
Tc2 Tc 0.363 0.663 0.490
Tc3 Tc 0.637 0.337 0.990
Tc4 Tc 0.863 0.337 0.490
N1 N 0.059 0.140 0.498
N2 N 0.441 0.140 0.998
N3 N 0.559 0.860 0.498
N4 N 0.941 0.860 0.998
O1 O 0.040 0.558 0.612
O2 O 0.460 0.558 0.112
O3 O 0.540 0.442 0.612
O4 O 0.960 0.442 0.112
```

Computed properties:
As for the total magnetization: 0.01 μB per cell. Its space-group type is No. 29.

***

*C*
Compound: YTcNO
Source: OQMD via LeMat-Bulk
Functional: PBE
Structure: relaxed

Geometry as CIF:
```
data_YTcNO
_cell_length_a 3.771
_cell_length_b 3.771
_cell_length_c 7.735
_cell_angle_alpha 90.00
_cell_angle_beta 90.00
_cell_angle_gamma 90.00
_symmetry_space_group_name_H-M 'P 1'
_symmetry_Int_Tables_number 1
loop_
_symmetry_equiv_pos_as_xyz
'x,y,z'
loop_
_atom_site_label
_atom_site_type_symbol
_atom_site_fract_x
_atom_site_fract_y
_atom_site_fract_z
Y1 Y 0.250 0.250 0.149
Y2 Y 0.750 0.750 0.851
Tc1 Tc 0.250 0.750 0.500
Tc2 Tc 0.750 0.250 0.500
N1 N 0.250 0.250 0.625
N2 N 0.750 0.750 0.375
O1 O 0.250 0.750 0.000
O2 O 0.750 0.250 0.000
```

Computed properties:
As for the total magnetization: 0.00 μB per cell. Its space-group type is No. 129.

***

Tell me which of them is the most stable. Sure, it is *A*.